Record 1
Computed, not measured: an optimized crystal structure of TmPuZr2 at the PBE level of DFT.

Formation energy from the elements in eV/atom: 0.17
Energy relative to the lowest polymorph listed for this composition in eV per atom: 0.0351

a b c (Å): 3.7957 3.7957 6.9583
angles (deg): 90.00 90.00 90.00
Last column: nearest neighbours and their distance in Å.
Fractional positions:
Tm: 0.0000 0.0000 0.0000  8 Zr 3.32, 2 Pu 3.48
Pu: 0.0000 0.0000 0.5000  8 Zr 3.08
Zr: 0.5000 0.5000 0.2815  1 Zr 3.04, 4 Pu 3.08, 4 Tm 3.32
Zr: 0.5000 0.5000 0.7185  1 Zr 3.04, 4 Pu 3.08, 4 Tm 3.32

---

Record 2
Computed, not measured: an optimized crystal structure of Tm14PuZr at the PBE level of DFT.

Formation energy from the elements in eV/atom: 0.03

a b c (Å): 10.9678 7.0555 7.0555
angles (deg): 59.96 90.00 90.00
Last column: nearest neighbours and their distance in Å.
Fractional positions:
Tm: 0.0000 0.0000 0.0000  12 Tm 3.44-3.53
Tm: 0.0000 0.0011 0.4991  12 Tm 3.41-3.54
Tm: 0.0000 0.4991 0.0011  12 Tm 3.41-3.54
Tm: 0.0000 0.4998 0.4998  12 Tm 3.40-3.53
Tm: 0.2486 0.6655 0.6655  11 Tm 3.40-3.56, 1 Pu 3.42
Tm: 0.2547 0.1640 0.1640  1 Zr 3.37, 11 Tm 3.39-3.58
Tm: 0.2565 0.1680 0.6691  1 Zr 3.34, 1 Pu 3.35, 10 Tm 3.38-3.58
Tm: 0.2565 0.6691 0.1680  1 Zr 3.34, 1 Pu 3.35, 10 Tm 3.38-3.58
Tm: 0.5000 0.5006 0.9969  8 Tm 3.38-3.55, 2 Pu 3.51-3.55, 2 Zr 3.51-3.54
Tm: 0.5000 0.9969 0.5006  8 Tm 3.38-3.55, 2 Pu 3.51-3.55, 2 Zr 3.51-3.54
Tm: 0.7435 0.1680 0.6691  1 Zr 3.34, 1 Pu 3.35, 10 Tm 3.38-3.58
Tm: 0.7435 0.6691 0.1680  1 Zr 3.34, 1 Pu 3.35, 10 Tm 3.38-3.58
Tm: 0.7453 0.1640 0.1640  1 Zr 3.37, 11 Tm 3.39-3.58
Tm: 0.7514 0.6655 0.6655  11 Tm 3.40-3.56, 1 Pu 3.42
Pu: 0.5000 0.5000 0.5000  10 Tm 3.35-3.55, 2 Zr 3.53
Zr: 0.5000 0.9980 0.9980  10 Tm 3.34-3.54, 2 Pu 3.53

---

Record 3
Computed, not measured: an optimized crystal structure of TmPuZr at the PBE level of DFT.

Formation energy from the elements in eV/atom: 0.45
Energy relative to the lowest polymorph listed for this composition in eV per atom: 0.3274

a b c (Å): 7.4484 7.4484 7.4484
angles (deg): 42.18 42.18 42.18
Last column: nearest neighbours and their distance in Å.
Fractional positions:
Tm: 0.1289 0.1289 0.1289  3 Zr 3.15, 3 Tm 3.45, 1 Pu 3.47
Tm: 0.8711 0.8711 0.8711  3 Zr 3.15, 3 Tm 3.45, 1 Pu 3.47
Pu: 0.2995 0.2995 0.2995  1 Zr 2.72
Pu: 0.7005 0.7005 0.7005  1 Zr 2.72
Zr: 0.4332 0.4332 0.4332  1 Zr 2.71, 1 Pu 2.72
Zr: 0.5668 0.5668 0.5668  1 Zr 2.71, 1 Pu 2.72

---

Record 4
Computed, not measured: an optimized crystal structure of TmPuZr2 at the PBE level of DFT.

Formation energy from the elements in eV/atom: 0.31
Energy relative to the lowest polymorph listed for this composition in eV per atom: 0.1738

a b c (Å): 3.2313 3.2313 34.2041
angles (deg): 90.00 90.00 120.00
Last column: nearest neighbours and their distance in Å.
Fractional positions:
Tm: 0.0000 0.0000 0.0000  6 Tm 3.23, 6 Zr 3.28
Tm: 0.3333 0.6667 0.6667  6 Tm 3.23, 6 Zr 3.28
Tm: 0.6667 0.3333 0.3333  6 Tm 3.23, 6 Zr 3.28
Pu: 0.0000 0.0000 0.5000  2 Zr 3.00, 6 Pu 3.23
Pu: 0.3333 0.6667 0.1667  2 Zr 3.00, 6 Pu 3.23
Pu: 0.6667 0.3333 0.8333  2 Zr 3.00, 6 Pu 3.23
Zr: 0.0000 0.0000 0.4122  1 Pu 3.00, 6 Zr 3.23, 3 Tm 3.28
Zr: 0.0000 0.0000 0.5878  1 Pu 3.00, 6 Zr 3.23, 3 Tm 3.28
Zr: 0.3333 0.6667 0.0789  1 Pu 3.00, 6 Zr 3.23, 3 Tm 3.28
Zr: 0.3333 0.6667 0.2545  1 Pu 3.00, 6 Zr 3.23, 3 Tm 3.28
Zr: 0.6667 0.3333 0.7455  1 Pu 3.00, 6 Zr 3.23, 3 Tm 3.28
Zr: 0.6667 0.3333 0.9211  1 Pu 3.00, 6 Zr 3.23, 3 Tm 3.28